Compound: TmBeNb
Source: OQMD via LeMat-Bulk
Functional: PBE
Structure: optimized geometry

Calculated values
polymorph energy (0 for the lowest one) = 0 meV/atom

a = 4.362 Å, b = 4.362 Å, c = 4.362 Å
α = 60.00°, β = 60.00°, γ = 60.00°
Positions (direct):
1 Tm 0.000 0.000 0.000
2 Be 0.750 0.750 0.750
3 Nb 0.500 0.500 0.500

Compound: KSmCoSe3
Source: OQMD via LeMat-Bulk
Functional: PBE
Structure: optimized geometry

Calculated values
polymorph energy (0 for the lowest one) = 66 meV/atom

a = 10.105 Å, b = 4.175 Å, c = 15.215 Å
α = 90.00°, β = 90.01°, γ = 90.00°
Positions (direct):
1 K 0.040 0.250 0.171
2 K 0.460 0.750 0.672
3 K 0.540 0.250 0.328
4 K 0.960 0.750 0.829
5 Sm 0.169 0.750 0.443
6 Sm 0.331 0.250 0.943
7 Sm 0.669 0.750 0.057
8 Sm 0.831 0.250 0.557
9 Co 0.150 0.250 0.629
10 Co 0.351 0.750 0.129
11 Co 0.649 0.250 0.871
12 Co 0.850 0.750 0.371
13 Se 0.025 0.750 0.613
14 Se 0.174 0.750 0.021
15 Se 0.220 0.250 0.773
16 Se 0.280 0.750 0.273
17 Se 0.326 0.250 0.521
18 Se 0.475 0.250 0.113
19 Se 0.525 0.750 0.887
20 Se 0.674 0.750 0.479
21 Se 0.720 0.250 0.727
22 Se 0.780 0.750 0.227
23 Se 0.826 0.250 0.979
24 Se 0.975 0.250 0.387

Compound: NaZnNiBi
Source: OQMD via LeMat-Bulk
Functional: PBE
Structure: optimized geometry

Calculated values
polymorph energy (0 for the lowest one) = 0 meV/atom

a = 4.686 Å, b = 4.686 Å, c = 4.686 Å
α = 60.00°, β = 60.00°, γ = 60.00°
Positions (direct):
1 Na 0.000 0.000 0.000
2 Zn 0.750 0.750 0.750
3 Ni 0.500 0.500 0.500
4 Bi 0.250 0.250 0.250

Compound: Co2AgGe
Source: OQMD via LeMat-Bulk
Functional: PBE
Structure: optimized geometry

Calculated values
total DFT energy (no corrections) = -5.003 eV per atom

a = 4.262 Å, b = 4.262 Å, c = 4.262 Å
α = 60.00°, β = 60.00°, γ = 60.00°
Positions (direct):
1 Co 0.000 0.000 0.000
2 Co 0.250 0.250 0.250
3 Ag 0.750 0.750 0.750
4 Ge 0.500 0.500 0.500

Compound: LiIrSeO
Source: OQMD via LeMat-Bulk
Functional: PBE
Structure: optimized geometry

Calculated values
polymorph energy (0 for the lowest one) = 59 meV/atom

a = 5.941 Å, b = 6.488 Å, c = 5.700 Å
α = 90.00°, β = 109.30°, γ = 90.00°
Positions (direct):
1 Li 0.220 0.221 0.444
2 Li 0.220 0.279 0.944
3 Li 0.780 0.721 0.056
4 Li 0.780 0.779 0.556
5 Ir 0.224 0.609 0.261
6 Ir 0.224 0.891 0.761
7 Ir 0.776 0.109 0.239
8 Ir 0.776 0.391 0.739
9 Se 0.392 0.556 0.710
10 Se 0.392 0.944 0.210
11 Se 0.608 0.056 0.790
12 Se 0.608 0.444 0.290
13 O 0.005 0.173 0.632
14 O 0.005 0.327 0.132
15 O 0.995 0.673 0.868
16 O 0.995 0.827 0.368

Compound: K2Cd2O5
Source: OQMD via LeMat-Bulk
Functional: PBE
Structure: optimized geometry

Calculated values
polymorph energy (0 for the lowest one) = 881 meV/atom

a = 4.451 Å, b = 4.451 Å, c = 6.990 Å
α = 90.00°, β = 90.00°, γ = 90.00°
Positions (direct):
1 K 0.000 0.000 0.182
2 K 0.000 0.000 0.818
3 Cd 0.500 0.500 0.000
4 Cd 0.500 0.500 0.500
5 O 0.000 0.000 0.500
6 O 0.000 0.500 0.235
7 O 0.000 0.500 0.765
8 O 0.500 0.000 0.235
9 O 0.500 0.000 0.765

Compound: RbAgPbS3
Source: OQMD via LeMat-Bulk
Functional: PBE
Structure: optimized geometry

Calculated values
total DFT energy (no corrections) = -3.665 eV per atom

a = 7.391 Å, b = 7.391 Å, c = 11.151 Å
α = 90.00°, β = 90.00°, γ = 147.31°
Positions (direct):
1 Rb 0.226 0.774 0.750
2 Rb 0.774 0.226 0.250
3 Ag 0.067 0.933 0.250
4 Ag 0.933 0.067 0.750
5 Pb 0.500 0.500 0.000
6 Pb 0.500 0.500 0.500
7 S 0.130 0.870 0.042
8 S 0.130 0.870 0.458
9 S 0.462 0.538 0.250
10 S 0.538 0.462 0.750
11 S 0.870 0.130 0.542
12 S 0.870 0.130 0.958

Compound: NpPd
Source: OQMD via LeMat-Bulk
Functional: PBE
Structure: optimized geometry

Calculated values
formation energy = -0.04 eV per atom

a = 2.766 Å, b = 2.766 Å, c = 5.164 Å
α = 90.00°, β = 90.00°, γ = 120.00°
Positions (direct):
1 Np 0.000 0.000 0.000
2 Pd 0.667 0.333 0.500